A PBEsol-optimized structure of Ca2CdAg, computed with meta-GGA SCAN.

Cell: 3.9634 4.7535 6.0660 Å, 90.00 109.11 90.00°
Fractional positions:
Cd (0.3035, 0.0000, 0.4812)
Ca (0.7298, 0.5000, 0.3340)
Ca (0.0202, 0.0000, 0.9161)
Ag (0.4465, 0.5000, 0.7688)

**Space group**: No. 38
**Formation enthalpy at 0 K**: -356 meV per atom
**ρ**: 4.62 g/cm³
**N(E_F)**: 2.5 states/eV per cell

***

A PBEsol-optimized structure of CaCd2Ag2, computed with meta-GGA SCAN.

Cell: 3.1990 8.0531 8.0531 Å, 90.00 90.00 90.00°
Fractional positions:
Cd (0.0000, 0.8743, 0.6257)
Cd (0.0000, 0.1257, 0.3743)
Cd (0.0000, 0.3743, 0.8743)
Cd (0.0000, 0.6257, 0.1257)
Ag (0.5000, 0.1724, 0.6724)
Ag (0.5000, 0.3276, 0.1724)
Ag (0.5000, 0.6724, 0.8276)
Ag (0.5000, 0.8276, 0.3276)
Ca (0.0000, 0.0000, 0.0000)
Ca (0.0000, 0.5000, 0.5000)

**Space group**: No. 127
**Relative energy among the computed polymorphs**: 0.094 eV per formula unit
**Formation enthalpy at 0 K**: -155 meV per atom
**ρ**: 7.69 g/cm³
**N(E_F)**: 3.4 states/eV per cell

***

A PBEsol-optimized structure of Ca2CdAg, computed with meta-GGA SCAN.

Cell: 3.5613 5.3367 5.9576 Å, 107.72 107.39 90.00°
Fractional positions:
Ag (0.2269, 0.7692, 0.4539)
Ca (0.9745, 0.9432, 0.9491)
Ca (0.7700, 0.3001, 0.5400)
Cd (0.5285, 0.4875, 0.0570)

**Space group**: No. 8
**Formation enthalpy at 0 K**: -288 meV per atom
**ρ**: 4.87 g/cm³
**N(E_F)**: 2.1 states/eV per cell

***

A PBEsol-optimized structure of CaCdAg2, computed with meta-GGA SCAN.

Cell: 3.5522 3.5522 6.6256 Å, 90.00 90.00 90.00°
Fractional positions:
Ag (0.5000, 0.5000, 0.2167)
Ag (0.0000, 0.0000, 0.0070)
Cd (0.5000, 0.5000, 0.7896)
Ca (0.0000, 0.0000, 0.4868)

**Space group**: No. 99
**Formation enthalpy at 0 K**: -212 meV per atom
**ρ**: 7.31 g/cm³
**N(E_F)**: 1.2 states/eV per cell

***

A PBEsol-optimized structure of CaCdAg2, computed with meta-GGA SCAN.

Cell: 4.8743 4.8743 4.8743 Å, 60.00 60.00 60.00°
Fractional positions:
Ca (0.5000, 0.5000, 0.5000)
Ag (0.0000, 0.0000, 0.0000)
Ag (0.7500, 0.7500, 0.7500)
Cd (0.2500, 0.2500, 0.2500)

**Space group**: No. 216
**Formation enthalpy at 0 K**: -187 meV per atom
**ρ**: 7.47 g/cm³
**N(E_F)**: 1.9 states/eV per cell

***

A PBEsol-optimized structure of Ca2CdAg, computed with meta-GGA SCAN.

Cell: 3.7134 3.7134 7.3456 Å, 90.00 90.00 90.00°
Fractional positions:
Cd (0.5000, 0.5000, 0.5000)
Ag (0.5000, 0.5000, 0.0000)
Ca (0.0000, 0.0000, 0.2417)
Ca (0.0000, 0.0000, 0.7583)

**Space group**: No. 123
**Formation enthalpy at 0 K**: -365 meV per atom
**ρ**: 4.93 g/cm³
**N(E_F)**: 3.0 states/eV per cell

***

A PBEsol-optimized structure of Ca2CdAg, computed with meta-GGA SCAN.

Cell: 3.5942 5.2405 6.3370 Å, 114.42 106.47 90.00°
Fractional positions:
Ag (0.7688, 0.2688, 0.5376)
Ca (0.2333, 0.7333, 0.4666)
Ca (0.0293, 0.0293, 0.0585)
Cd (0.4687, 0.4687, 0.9373)

**Space group**: No. 44
**Formation enthalpy at 0 K**: -279 meV per atom
**ρ**: 4.83 g/cm³
**N(E_F)**: 2.9 states/eV per cell

***

A PBEsol-optimized structure of CaCdAg2, computed with meta-GGA SCAN.

Cell: 3.5165 4.4763 5.7336 Å, 90.00 107.98 90.00°
Fractional positions:
Ag (0.9446, 0.5000, 0.2644)
Ag (0.8000, 0.0000, 0.9760)
Cd (0.2183, 0.5000, 0.8115)
Ca (0.5371, 0.0000, 0.4481)

**Space group**: No. 6
**Formation enthalpy at 0 K**: -185 meV per atom
**ρ**: 7.12 g/cm³
**N(E_F)**: 1.5 states/eV per cell